1.
The following is a GGA-PBE calculation of an optimized crystal structure of Ni5Ge2Ir, from Alexandria.

a b c (Å): 5.185 10.317 3.609
angles (deg): 90.00 90.00 90.00
Fractional coordinates of all 16 atoms:
Ni 0.000 0.000 0.000
Ni 0.009 0.247 0.000
Ni 0.240 0.870 0.500
Ni 0.260 0.370 0.500
Ni 0.491 0.747 0.000
Ni 0.500 0.500 0.000
Ni 0.509 0.253 0.000
Ni 0.740 0.630 0.500
Ni 0.760 0.130 0.500
Ni 0.991 0.753 0.000
Ge 0.246 0.127 0.500
Ge 0.254 0.627 0.500
Ge 0.746 0.373 0.500
Ge 0.754 0.873 0.500
Ir 0.000 0.500 0.000
Ir 0.500 0.000 0.000

The value obtained for the total energy is -6.114 eV per atom. The space group is No. 55. The size of the total moment comes out at 0.00 μB/atom.



2.
The following is a GGA-PBE calculation of an optimized crystal structure of NiGe6Ir3, from Alexandria.

a b c (Å): 6.623 6.045 10.087
angles (deg): 90.00 125.23 90.00
Fractional coordinates of all 20 atoms:
Ni 0.000 0.000 0.000
Ni 0.000 0.500 0.500
Ge 0.080 0.031 0.253
Ge 0.080 0.469 0.753
Ge 0.218 0.158 0.571
Ge 0.218 0.342 0.071
Ge 0.408 0.636 0.575
Ge 0.408 0.864 0.075
Ge 0.592 0.136 0.925
Ge 0.592 0.364 0.425
Ge 0.782 0.658 0.929
Ge 0.782 0.842 0.429
Ge 0.920 0.531 0.247
Ge 0.920 0.969 0.747
Ir 0.269 0.663 0.250
Ir 0.269 0.837 0.750
Ir 0.500 0.000 0.500
Ir 0.500 0.500 0.000
Ir 0.731 0.163 0.250
Ir 0.731 0.337 0.750

The value obtained for the total energy is -6.204 eV per atom. The space group is No. 14. The size of the total moment comes out at 0.00 μB/atom.



3.
The following is a GGA-PBE calculation of an optimized crystal structure of Ni8GeIr2, from Alexandria.

a b c (Å): 6.709 6.709 5.754
angles (deg): 106.02 106.02 31.49
Fractional coordinates of all 11 atoms:
Ni 0.045 0.045 0.226
Ni 0.134 0.134 0.677
Ni 0.319 0.319 0.587
Ni 0.411 0.411 0.052
Ni 0.589 0.589 0.948
Ni 0.681 0.681 0.413
Ni 0.866 0.866 0.323
Ni 0.955 0.955 0.774
Ge 0.500 0.500 0.500
Ir 0.223 0.223 0.138
Ir 0.777 0.777 0.862

The value obtained for the total energy is -6.320 eV per atom. The space group is No. 12. The size of the total moment comes out at 0.00 μB/atom.



4.
The following is a GGA-PBE calculation of an optimized crystal structure of NiGe2Ir, from Alexandria.

a b c (Å): 5.451 5.451 10.850
angles (deg): 90.00 90.00 90.00
Fractional coordinates of all 16 atoms:
Ni 0.000 0.000 0.000
Ni 0.000 0.500 0.250
Ni 0.500 0.000 0.750
Ni 0.500 0.500 0.500
Ge 0.239 0.250 0.125
Ge 0.250 0.739 0.375
Ge 0.250 0.761 0.875
Ge 0.261 0.250 0.625
Ge 0.739 0.750 0.625
Ge 0.750 0.239 0.875
Ge 0.750 0.261 0.375
Ge 0.761 0.750 0.125
Ir 0.000 0.000 0.500
Ir 0.000 0.500 0.750
Ir 0.500 0.000 0.250
Ir 0.500 0.500 0.000

The value obtained for the total energy is -5.765 eV per atom. The space group is No. 122. The size of the total moment comes out at 0.00 μB/atom.



5.
The following is a GGA-PBE calculation of an optimized crystal structure of Ni2Ge4Ir, from Alexandria.

a b c (Å): 4.777 4.777 11.745
angles (deg): 90.00 90.00 90.00
Fractional coordinates of all 14 atoms:
Ni 0.000 0.000 0.099
Ni 0.000 0.000 0.901
Ni 0.500 0.500 0.401
Ni 0.500 0.500 0.599
Ge 0.000 0.000 0.290
Ge 0.000 0.000 0.710
Ge 0.000 0.500 0.000
Ge 0.000 0.500 0.500
Ge 0.500 0.000 0.000
Ge 0.500 0.000 0.500
Ge 0.500 0.500 0.210
Ge 0.500 0.500 0.790
Ir 0.000 0.000 0.500
Ir 0.500 0.500 0.000

The value obtained for the total energy is -5.263 eV per atom. The space group is No. 139. The size of the total moment comes out at 0.00 μB/atom.



6.
The following is a GGA-PBE calculation of an optimized crystal structure of NiGeIr2, from Alexandria.

a b c (Å): 4.005 4.005 6.804
angles (deg): 90.00 90.00 90.00
Fractional coordinates of all 8 atoms:
Ni 0.000 0.000 0.000
Ni 0.500 0.500 0.500
Ge 0.000 0.000 0.500
Ge 0.500 0.500 0.000
Ir 0.000 0.500 0.250
Ir 0.000 0.500 0.750
Ir 0.500 0.000 0.250
Ir 0.500 0.000 0.750

The value obtained for the total energy is -7.092 eV per atom. The space group is No. 139. The size of the total moment comes out at 0.23 μB/atom.



7.
The following is a GGA-PBE calculation of an optimized crystal structure of NiGeIr2, from Alexandria.

a b c (Å): 3.805 3.805 17.017
angles (deg): 90.00 90.00 90.00
Fractional coordinates of all 16 atoms:
Ni 0.000 0.000 0.000
Ni 0.000 0.500 0.250
Ni 0.500 0.000 0.750
Ni 0.500 0.500 0.500
Ge 0.000 0.000 0.500
Ge 0.000 0.500 0.750
Ge 0.500 0.000 0.250
Ge 0.500 0.500 0.000
Ir 0.226 0.250 0.125
Ir 0.250 0.726 0.375
Ir 0.250 0.774 0.875
Ir 0.274 0.250 0.625
Ir 0.726 0.750 0.625
Ir 0.750 0.226 0.875
Ir 0.750 0.274 0.375
Ir 0.774 0.750 0.125

The value obtained for the total energy is -6.731 eV per atom. The space group is No. 122. The size of the total moment comes out at 0.00 μB/atom.



8.
The following is a GGA-PBE calculation of an optimized crystal structure of NiGeIr3, from Alexandria.

a b c (Å): 4.478 4.478 4.478
angles (deg): 90.00 90.00 90.00
Fractional coordinates of all 5 atoms:
Ni 0.000 0.000 0.000
Ge 0.500 0.500 0.500
Ir 0.000 0.000 0.500
Ir 0.000 0.500 0.000
Ir 0.500 0.000 0.000

The value obtained for the total energy is -5.967 eV per atom. The space group is No. 221. The size of the total moment comes out at 0.34 μB/atom.



9.
The following is a GGA-PBE calculation of an optimized crystal structure of NiGe2Ir, from Alexandria.

a b c (Å): 2.959 2.959 25.393
angles (deg): 90.00 90.00 120.00
Fractional coordinates of all 12 atoms:
Ni 0.000 0.000 0.000
Ni 0.333 0.667 0.667
Ni 0.667 0.333 0.333
Ge 0.000 0.000 0.090
Ge 0.000 0.000 0.910
Ge 0.333 0.667 0.577
Ge 0.333 0.667 0.757
Ge 0.667 0.333 0.243
Ge 0.667 0.333 0.423
Ir 0.000 0.000 0.500
Ir 0.333 0.667 0.167
Ir 0.667 0.333 0.833

The value obtained for the total energy is -5.866 eV per atom. The space group is No. 166. The size of the total moment comes out at 0.00 μB/atom.



10.
The following is a GGA-PBE calculation of an optimized crystal structure of Ni4Ge2Ir, from Alexandria.

a b c (Å): 4.546 4.546 11.885
angles (deg): 90.00 90.00 90.00
Fractional coordinates of all 14 atoms:
Ni 0.000 0.000 0.203
Ni 0.000 0.000 0.797
Ni 0.000 0.500 0.000
Ni 0.000 0.500 0.500
Ni 0.500 0.000 0.000
Ni 0.500 0.000 0.500
Ni 0.500 0.500 0.297
Ni 0.500 0.500 0.703
Ge 0.000 0.000 0.393
Ge 0.000 0.000 0.607
Ge 0.500 0.500 0.107
Ge 0.500 0.500 0.893
Ir 0.000 0.000 0.000
Ir 0.500 0.500 0.500

The value obtained for the total energy is -5.113 eV per atom. The space group is No. 139. The size of the total moment comes out at 0.20 μB/atom.



11.
The following is a GGA-PBE calculation of an optimized crystal structure of NiGeIr3, from Alexandria.

a b c (Å): 4.524 4.524 4.524
angles (deg): 90.00 90.00 90.00
Fractional coordinates of all 5 atoms:
Ni 0.000 0.000 0.000
Ge 0.500 0.500 0.500
Ir 0.000 0.500 0.500
Ir 0.500 0.000 0.500
Ir 0.500 0.500 0.000

The value obtained for the total energy is -5.993 eV per atom. The space group is No. 221. The size of the total moment comes out at 0.54 μB/atom.



12.
The following is a GGA-PBE calculation of an optimized crystal structure of Ni12Ge6Ir, from Alexandria.

a b c (Å): 6.683 6.683 6.683
angles (deg): 108.20 108.20 108.20
Fractional coordinates of all 19 atoms:
Ni 0.085 0.820 0.297
Ni 0.180 0.703 0.915
Ni 0.185 0.603 0.499
Ni 0.297 0.085 0.820
Ni 0.397 0.501 0.815
Ni 0.499 0.185 0.603
Ni 0.501 0.815 0.397
Ni 0.603 0.499 0.185
Ni 0.703 0.915 0.180
Ni 0.815 0.397 0.501
Ni 0.820 0.297 0.085
Ni 0.915 0.180 0.703
Ge 0.103 0.212 0.444
Ge 0.212 0.444 0.103
Ge 0.444 0.103 0.212
Ge 0.556 0.897 0.788
Ge 0.788 0.556 0.897
Ge 0.897 0.788 0.556
Ir 0.000 0.000 0.000

The value obtained for the total energy is -5.790 eV per atom. The space group is No. 148. The size of the total moment comes out at 0.00 μB/atom.



Among the records above, which one has the highest size of the total moment?
number 11



Which of these has the highest total energy?
Ni4Ge2Ir